Entry 1:
# Dy5Tm2Sn4 PBE-GGA relaxed
# space-group type = C2/m, No. 12
# calculated density = 8.006 g cm⁻³
# E = -4.742 eV per atom
# total magnetization = 0.00 μB/f.u.
data_Dy5Tm2Sn4
_chemical_formula_sum 'Dy5 Tm2 Sn4'
_cell_length_a 10.723
_cell_length_b 10.723
_cell_length_c 7.633
_cell_angle_alpha 103.44
_cell_angle_beta 103.44
_cell_angle_gamma 23.29
_symmetry_space_group_name_H-M 'P 1'
_symmetry_Int_Tables_number 1
_symmetry_space_group_name_Hall 'P 1'
loop_
_atom_site_label
_atom_site_type_symbol
_atom_site_fract_x
_atom_site_fract_y
_atom_site_fract_z
Dy1 Dy 0.000 0.000 0.000
Dy2 Dy 0.323 0.323 0.545
Dy3 Dy 0.357 0.357 0.040
Dy4 Dy 0.643 0.643 0.960
Dy5 Dy 0.677 0.677 0.455
Tm1 Tm 0.073 0.073 0.609
Tm2 Tm 0.927 0.927 0.391
Sn1 Sn 0.218 0.218 0.767
Sn2 Sn 0.473 0.473 0.707
Sn3 Sn 0.527 0.527 0.293
Sn4 Sn 0.782 0.782 0.233

Entry 2:
# DyTmSn PBE-GGA relaxed
# space-group type = P4/nmm, No. 129
# energy above the most stable polymorph in this dataset = 0.376 eV/atom
# calculated density = 8.519 g cm⁻³
# total magnetization = 0.00 μB/f.u.
data_DyTmSn
_chemical_formula_sum 'Dy2 Tm2 Sn2'
_cell_length_a 4.161
_cell_length_b 4.161
_cell_length_c 10.136
_cell_angle_alpha 90.00
_cell_angle_beta 90.00
_cell_angle_gamma 90.00
_symmetry_space_group_name_H-M 'P 1'
_symmetry_Int_Tables_number 1
_symmetry_space_group_name_Hall 'P 1'
loop_
_atom_site_label
_atom_site_type_symbol
_atom_site_fract_x
_atom_site_fract_y
_atom_site_fract_z
Dy1 Dy 0.250 0.250 0.099
Dy2 Dy 0.750 0.750 0.901
Tm1 Tm 0.250 0.250 0.718
Tm2 Tm 0.750 0.750 0.282
Sn1 Sn 0.250 0.250 0.412
Sn2 Sn 0.750 0.750 0.588

Entry 3:
# Dy5TmSn6 PBE-GGA relaxed
# space-group type = C2/m, No. 12
# calculated density = 8.489 g cm⁻³
# E = -4.908 eV per atom
# total magnetization = 0.00 μB/f.u.
data_Dy5TmSn6
_chemical_formula_sum 'Dy5 Tm1 Sn6'
_cell_length_a 7.567
_cell_length_b 7.567
_cell_length_c 8.484
_cell_angle_alpha 94.52
_cell_angle_beta 94.52
_cell_angle_gamma 135.77
_symmetry_space_group_name_H-M 'P 1'
_symmetry_Int_Tables_number 1
_symmetry_space_group_name_Hall 'P 1'
loop_
_atom_site_label
_atom_site_type_symbol
_atom_site_fract_x
_atom_site_fract_y
_atom_site_fract_z
Dy1 Dy 0.000 0.000 0.000
Dy2 Dy 0.332 0.668 0.000
Dy3 Dy 0.335 0.665 0.500
Dy4 Dy 0.665 0.335 0.500
Dy5 Dy 0.668 0.332 0.000
Tm1 Tm 0.000 0.000 0.500
Sn1 Sn 0.164 0.832 0.252
Sn2 Sn 0.168 0.836 0.748
Sn3 Sn 0.492 0.492 0.752
Sn4 Sn 0.508 0.508 0.248
Sn5 Sn 0.832 0.164 0.252
Sn6 Sn 0.836 0.168 0.748

Copy entry 1 word for word.
# Dy5Tm2Sn4 PBE-GGA relaxed
# space-group type = C2/m, No. 12
# calculated density = 8.006 g cm⁻³
# E = -4.742 eV per atom
# total magnetization = 0.00 μB/f.u.
data_Dy5Tm2Sn4
_chemical_formula_sum 'Dy5 Tm2 Sn4'
_cell_length_a 10.723
_cell_length_b 10.723
_cell_length_c 7.633
_cell_angle_alpha 103.44
_cell_angle_beta 103.44
_cell_angle_gamma 23.29
_symmetry_space_group_name_H-M 'P 1'
_symmetry_Int_Tables_number 1
_symmetry_space_group_name_Hall 'P 1'
loop_
_atom_site_label
_atom_site_type_symbol
_atom_site_fract_x
_atom_site_fract_y
_atom_site_fract_z
Dy1 Dy 0.000 0.000 0.000
Dy2 Dy 0.323 0.323 0.545
Dy3 Dy 0.357 0.357 0.040
Dy4 Dy 0.643 0.643 0.960
Dy5 Dy 0.677 0.677 0.455
Tm1 Tm 0.073 0.073 0.609
Tm2 Tm 0.927 0.927 0.391
Sn1 Sn 0.218 0.218 0.767
Sn2 Sn 0.473 0.473 0.707
Sn3 Sn 0.527 0.527 0.293
Sn4 Sn 0.782 0.782 0.233